No. 1
PmTmIrRh after structural relaxation, computed with PBE.

Lattice parameters (Å, degrees): 6.9016 6.9016 6.9016 90.00 90.00 90.00
Sites, in units of the cell vectors:
Pm: 0.0000 0.0000 0.0000
Pm: 0.0000 0.5000 0.5000
Pm: 0.5000 0.0000 0.5000
Pm: 0.5000 0.5000 0.0000
Tm: 0.0000 0.0000 0.5000
Tm: 0.0000 0.5000 0.0000
Tm: 0.5000 0.0000 0.0000
Tm: 0.5000 0.5000 0.5000
Ir: 0.2500 0.2500 0.2500
Ir: 0.2500 0.7500 0.7500
Ir: 0.7500 0.2500 0.7500
Ir: 0.7500 0.7500 0.2500
Rh: 0.2500 0.2500 0.7500
Rh: 0.2500 0.7500 0.2500
Rh: 0.7500 0.2500 0.2500
Rh: 0.7500 0.7500 0.7500

Summary:
energy of formation	-308	kJ/mol of formula units

=====

No. 2
Pm2Dy2Ho3 after structural relaxation, computed with PBE.

Lattice parameters (Å, degrees): 8.4190 8.4190 8.4190 109.47 109.47 109.47
Sites, in units of the cell vectors:
Pm: 0.0000 0.8123 0.5000
Pm: 0.5000 0.0000 0.8123
Pm: 0.6877 0.6877 0.6877
Pm: 0.8123 0.5000 0.0000
Dy: 0.0000 0.4152 0.5000
Dy: 0.0848 0.0848 0.0848
Dy: 0.4152 0.5000 0.0000
Dy: 0.5000 0.0000 0.4152
Ho: 0.1933 0.7500 0.9433
Ho: 0.2500 0.5567 0.3067
Ho: 0.3067 0.2500 0.5567
Ho: 0.5567 0.3067 0.2500
Ho: 0.7500 0.9433 0.1933
Ho: 0.9433 0.1933 0.7500

Summary:
energy of formation	153	kJ/mol of formula units

=====

No. 3
LaSb2Rh2 after structural relaxation, computed with PBE.

Lattice parameters (Å, degrees): 7.9197 7.9197 3.3921 90.00 90.00 90.00
Sites, in units of the cell vectors:
La: 0.0000 0.0000 0.0000
La: 0.5000 0.5000 0.0000
Sb: 0.1567 0.3433 0.5000
Sb: 0.3433 0.8433 0.5000
Sb: 0.6567 0.1567 0.5000
Sb: 0.8433 0.6567 0.5000
Rh: 0.1254 0.6254 0.0000
Rh: 0.3746 0.1254 0.0000
Rh: 0.6254 0.8746 0.0000
Rh: 0.8746 0.3746 0.0000

Summary:
formation energy (no corrections)	-513	meV/atom

=====

No. 4
ZrSc2Cr after structural relaxation, computed with PBE.

Lattice parameters (Å, degrees): 6.8135 6.8135 6.8135 90.00 90.00 90.00
Sites, in units of the cell vectors:
Zr: 0.0000 0.0000 0.0000
Zr: 0.0000 0.5000 0.5000
Zr: 0.5000 0.0000 0.5000
Zr: 0.5000 0.5000 0.0000
Sc: 0.2500 0.2500 0.2500
Sc: 0.2500 0.2500 0.7500
Sc: 0.2500 0.7500 0.2500
Sc: 0.2500 0.7500 0.7500
Sc: 0.7500 0.2500 0.2500
Sc: 0.7500 0.2500 0.7500
Sc: 0.7500 0.7500 0.2500
Sc: 0.7500 0.7500 0.7500
Cr: 0.0000 0.0000 0.5000
Cr: 0.0000 0.5000 0.0000
Cr: 0.5000 0.0000 0.0000
Cr: 0.5000 0.5000 0.5000

Summary:
energy of formation	178	kJ/mol of formula units

=====

No. 5
MgRe2Se after structural relaxation, computed with PBE.

Lattice parameters (Å, degrees): 3.1344 4.3339 4.8092 90.00 90.00 90.00
Sites, in units of the cell vectors:
Mg: 0.0000 0.0000 0.0000
Re: 0.0000 0.5000 0.5000
Re: 0.5000 0.0000 0.5000
Se: 0.5000 0.5000 0.0000

Summary:
formation energy (no corrections)	514	meV/atom

=====

No. 6
CaZn3Ni after structural relaxation, computed with PBE.

Lattice parameters (Å, degrees): 5.8286 5.8491 5.8366 90.00 114.34 90.00
Sites, in units of the cell vectors:
Ca: 0.2322 0.2500 0.2692
Ca: 0.7678 0.7500 0.7308
Zn: 0.2770 0.0001 0.7772
Zn: 0.2770 0.4999 0.7772
Zn: 0.3304 0.7500 0.1686
Zn: 0.6696 0.2500 0.8314
Zn: 0.7230 0.9999 0.2228
Zn: 0.7230 0.5001 0.2228
Ni: 0.0903 0.7500 0.4102
Ni: 0.9097 0.2500 0.5898

Summary:
energy of formation	-102	kJ/mol of formula units

=====

No. 7
YMg2Rh after structural relaxation, computed with PBE.

Lattice parameters (Å, degrees): 5.6588 9.0124 3.2691 90.00 90.00 90.00
Sites, in units of the cell vectors:
Y: 0.0000 0.0000 0.0000
Y: 0.5000 0.5000 0.0000
Mg: 0.2500 0.2500 0.5000
Mg: 0.2500 0.7500 0.5000
Mg: 0.7500 0.2500 0.5000
Mg: 0.7500 0.7500 0.5000
Rh: 0.0000 0.5000 0.0000
Rh: 0.5000 0.0000 0.0000

Summary:
energy of formation	-46	kJ/mol of formula units

=====

No. 8
Ag2H2Se after structural relaxation, computed with PBE.

Lattice parameters (Å, degrees): 3.2911 3.2911 12.5461 90.00 90.00 90.00
Sites, in units of the cell vectors:
Ag: 0.0000 0.0000 0.1611
Ag: 0.0000 0.0000 0.8389
Ag: 0.5000 0.5000 0.3389
Ag: 0.5000 0.5000 0.6611
H: 0.0000 0.5000 0.2500
H: 0.0000 0.5000 0.7500
H: 0.5000 0.0000 0.2500
H: 0.5000 0.0000 0.7500
Se: 0.0000 0.0000 0.5000
Se: 0.5000 0.5000 0.0000

Summary:
total energy	-13.86	eV/f.u.

=====

No. 9
HoMnSi2W after structural relaxation, computed with PBE.

Lattice parameters (Å, degrees): 3.9224 3.9224 10.9273 90.00 90.00 90.00
Sites, in units of the cell vectors:
Ho: 0.0000 0.0000 0.0000
Ho: 0.5000 0.5000 0.5000
Mn: 0.0000 0.5000 0.2500
Mn: 0.5000 0.0000 0.7500
Si: 0.0000 0.0000 0.3898
Si: 0.0000 0.0000 0.6102
Si: 0.5000 0.5000 0.1102
Si: 0.5000 0.5000 0.8898
W: 0.0000 0.5000 0.7500
W: 0.5000 0.0000 0.2500

Summary:
formation energy (no corrections)	-461	meV/atom

=====

No. 10
Tb2YTl2Hg2 after structural relaxation, computed with PBE.

Lattice parameters (Å, degrees): 9.3455 9.3455 9.3455 30.98 30.98 30.98
Sites, in units of the cell vectors:
Tb: 0.1327 0.1327 0.1327
Tb: 0.8673 0.8673 0.8673
Y: 0.0000 0.0000 0.0000
Tl: 0.2738 0.2738 0.2738
Tl: 0.7262 0.7262 0.7262
Hg: 0.4344 0.4344 0.4344
Hg: 0.5656 0.5656 0.5656

Summary:
energy of formation	-127	kJ/mol of formula units

=====

No. 11
Na2LiIn12Pt3 after structural relaxation, computed with PBE.

Lattice parameters (Å, degrees): 8.3956 8.3956 8.3956 68.31 68.31 68.31
Sites, in units of the cell vectors:
Na: 0.0759 0.0759 0.0759
Na: 0.9241 0.9241 0.9241
Li: 0.5000 0.5000 0.5000
In: 0.0472 0.6793 0.6793
In: 0.2389 0.2389 0.6568
In: 0.2389 0.6568 0.2389
In: 0.3207 0.3207 0.9528
In: 0.3207 0.9528 0.3207
In: 0.3432 0.7611 0.7611
In: 0.6568 0.2389 0.2389
In: 0.6793 0.0472 0.6793
In: 0.6793 0.6793 0.0472
In: 0.7611 0.3432 0.7611
In: 0.7611 0.7611 0.3432
In: 0.9528 0.3207 0.3207
Pt: 0.0000 0.5000 0.5000
Pt: 0.5000 0.0000 0.5000
Pt: 0.5000 0.5000 0.0000

Summary:
energy of formation	-205	kJ/mol of formula units

=====

No. 12
Dy5CoTe2 after structural relaxation, computed with PBE.

Lattice parameters (Å, degrees): 6.5193 6.5193 14.4774 90.00 90.00 126.80
Sites, in units of the cell vectors:
Dy: 0.0644 0.9356 0.6283
Dy: 0.0644 0.9356 0.8717
Dy: 0.3039 0.6961 0.2500
Dy: 0.3668 0.6332 0.6222
Dy: 0.3668 0.6332 0.8778
Dy: 0.6332 0.3668 0.1222
Dy: 0.6332 0.3668 0.3778
Dy: 0.6961 0.3039 0.7500
Dy: 0.9356 0.0644 0.1283
Dy: 0.9356 0.0644 0.3717
Co: 0.2184 0.7816 0.7500
Co: 0.7816 0.2184 0.2500
Te: 0.1877 0.8123 0.0578
Te: 0.1877 0.8123 0.4422
Te: 0.8123 0.1877 0.5578
Te: 0.8123 0.1877 0.9422

Summary:
formation energy (no corrections)	-485	meV/atom

=====

| no. | D(E_F) (states/eV per cell) |
| --- | --- |
| 1 | 5.43 |
| 2 | 17.58 |
| 3 | 4.49 |
| 4 | 38.45 |
| 5 | 2.72 |
| 6 | 4.34 |
| 7 | 2.41 |
| 8 | 3.87 |
| 9 | 6.60 |
| 10 | 4.00 |
| 11 | 10.36 |
| 12 | 17.46 |